(1)
First-principles (PBEsol) data for NaSn2Bi2 after structural relaxation, as listed in the Alexandria database.

Summary:
The total moment comes out at 0.000 μB/f.u. The value obtained for the total energy is -18.71 eV/f.u. The formation energy is -0.04 eV per atom.

Lattice parameters (Å, degrees): 8.661 8.661 4.026 90.00 90.00 90.00
Space group P4/mbm (No. 127)
Asymmetric unit:
Na 0.000 0.000 0.000 (multiplicity 2)
Sn 0.144 0.356 0.500 (multiplicity 4)
Bi 0.147 0.647 0.000 (multiplicity 4)

---

(2)
First-principles (PBEsol) data for In3HgBr after structural relaxation, as listed in the Alexandria database.

Summary:
The total moment comes out at 0.000 μB/f.u. For the energy relative to the elements, uncorrected, the calculation gives 0.07 eV per atom. The value obtained for the total energy is -11.01 eV/f.u.

Lattice parameters (Å, degrees): 5.479 5.479 5.479 90.00 90.00 90.00
Space group Pm-3m (No. 221)
Asymmetric unit:
In 0.000 0.000 0.500 (multiplicity 3)
Hg 0.000 0.000 0.000 (multiplicity 1)
Br 0.500 0.500 0.500 (multiplicity 1)